Record 1
An optimized crystal structure of Na12P3H5, computed with PBE.

The calculation puts the final energy at -0.191 Ry per atom.

The space group is Ia-3d (No. 230) and the conventional cell measures 15.093, 15.093 and 15.093 Å, with angles of 90.00, 90.00 and 90.00 degrees. The distinct sites, in fractional coordinates, are Na at (0.027, 0.059, 0.654), P at (0.000, 0.250, 0.125), H at (0.000, 0.000, 0.000) and H at (0.000, 0.250, 0.375).

Record 2
An optimized crystal structure of Na4P2H, computed with PBE.

The calculation puts the final energy at -0.216 Ry per atom.

The space group is R-3m (No. 166, hexagonal axes) and the conventional cell measures 4.8932, 4.8932 and 22.1568 Å, with angles of 90.00, 90.00 and 120.00 degrees. The distinct sites, in fractional coordinates, are Na at (0.0000, 0.0000, 0.1206), Na at (0.0000, 0.0000, 0.2892), P at (0.0000, 0.0000, 0.4229) and H at (0.0000, 0.0000, 0.5000).

Record 3
An optimized crystal structure of Na2PH4, computed with PBE.

The calculation puts the final energy at -0.222 Ry per atom.

The space group is I4/mmm (No. 139) and the conventional cell measures 4.864, 4.864 and 7.200 Å, with angles of 90.00, 90.00 and 90.00 degrees. The distinct sites, in fractional coordinates, are Na at (0.000, 0.500, 0.250), P at (0.000, 0.000, 0.000) and H at (0.232, 0.232, 0.000).

Record 4
An optimized crystal structure of Na4PH2, computed with PBE.

The calculation puts the final energy at -0.173 Ry per atom.

The space group is I4/mmm (No. 139) and the conventional cell measures 5.411, 5.411 and 12.912 Å, with angles of 90.00, 90.00 and 90.00 degrees. The distinct sites, in fractional coordinates, are Na at (0.000, 0.000, 0.211), Na at (0.000, 0.500, 0.000), P at (0.000, 0.000, 0.000) and H at (0.000, 0.000, 0.371).

Record 5
An optimized crystal structure of Na2PH2, computed with PBE.

The calculation puts the energy above the most stable polymorph in this dataset at 165 meV per atom.

The space group is P4/mbm (No. 127) and the conventional cell measures 6.378, 6.378 and 3.332 Å, with angles of 90.00, 90.00 and 90.00 degrees. The distinct sites, in fractional coordinates, are Na at (0.163, 0.337, 0.000), P at (0.000, 0.000, 0.500) and H at (0.161, 0.661, 0.500).

Record 6
An optimized crystal structure of Na2P3H6, computed with PBE.

The calculation puts the final energy at -0.266 Ry per atom.

The space group is P-1 (No. 2) and the conventional cell measures 5.670, 7.780 and 9.372 Å, with angles of 65.49, 74.47 and 77.35 degrees. The distinct sites, in fractional coordinates, are Na at (0.008, 0.088, 0.178), Na at (0.299, 0.318, 0.470), P at (0.025, 0.694, 0.164), P at (0.219, 0.520, 0.723), P at (0.466, 0.067, 0.293), H at (0.031, 0.682, 0.700), H at (0.140, 0.669, 0.377), H at (0.174, 0.634, 0.467), H at (0.254, 0.574, 0.149), H at (0.398, 0.880, 0.345) and H at (0.484, 0.906, 0.873).

Record 7
An optimized crystal structure of Na2PH6, computed with PBE.

The calculation puts the final energy at -0.225 Ry per atom.

The space group is Fm-3m (No. 225) and the conventional cell measures 7.295, 7.295 and 7.295 Å, with angles of 90.00, 90.00 and 90.00 degrees. The distinct sites, in fractional coordinates, are Na at (0.250, 0.250, 0.250), P at (0.000, 0.000, 0.000) and H at (0.000, 0.000, 0.215).

Record 8
An optimized crystal structure of Na3P2H, computed with PBE.

The calculation puts the final energy at -0.240 Ry per atom.

The space group is P2_1/c (No. 14) and the conventional cell measures 8.647, 9.413 and 5.946 Å, with angles of 90.00, 109.63 and 90.00 degrees. The distinct sites, in fractional coordinates, are Na at (0.162, 0.008, 0.345), Na at (0.312, 0.169, 0.968), Na at (0.315, 0.674, 0.336), P at (0.008, 0.244, 0.559), P at (0.500, 0.060, 0.665) and H at (0.096, 0.632, 0.487).

Record 9
An optimized crystal structure of Na3PH6, computed with PBE.

The calculation puts the final energy at -0.221 Ry per atom.

The space group is Cmc2_1 (No. 36) and the conventional cell measures 8.581, 10.630 and 6.528 Å, with angles of 90.00, 90.00 and 90.00 degrees. The distinct sites, in fractional coordinates, are Na at (0.000, 0.078, 0.000), Na at (0.212, 0.393, 0.016), P at (0.000, 0.306, 0.539), H at (0.000, 0.287, 0.979), H at (0.000, 0.369, 0.344), H at (0.124, 0.381, 0.623) and H at (0.183, 0.007, 0.257).

Question: Number 5 is which compound?
Answer: Na2PH2

Question: Number 3 is which compound?
Answer: Na2PH4